# TaSiNiO2 | Alexandria via LeMat-Bulk | GGA+U | optimized geometry
# calculated volume	83.08	Å³/f.u.
# DFT total energy	-6.8755	eV per atom
# total magnetization	1.18	Bohr magnetons per cell
data_TaSiNiO2
_cell_length_a 3.841
_cell_length_b 3.841
_cell_length_c 5.631
_cell_angle_alpha 90.00
_cell_angle_beta 90.00
_cell_angle_gamma 90.00
_space_group_name_H-M_alt 'P 4/m m m'
_space_group_IT_number 123
_space_group_name_Hall '-P 4 2'
loop_
_atom_site_label
_atom_site_type_symbol
_atom_site_fract_x
_atom_site_fract_y
_atom_site_fract_z
Ta1 Ta 0.000 0.000 0.000
Si1 Si 0.000 0.000 0.500
Ni1 Ni 0.500 0.500 0.500
O1 O 0.000 0.500 0.000